No. 1
# MnZn5Au8, optimized geometry, DFT PBE
data_MnZn5Au8
_space_group_name_H-M_alt 'P 1'
_space_group_IT_number 1
_cell_length_a 6.831
_cell_length_b 6.831
_cell_length_c 6.831
_cell_angle_alpha 109.98
_cell_angle_beta 108.45
_cell_angle_gamma 109.98
loop_
_space_group_symop_operation_xyz
'x,y,z'
loop_
_atom_site_label
_atom_site_type_symbol
_atom_site_fract_x
_atom_site_fract_y
_atom_site_fract_z
Mn1 Mn 0.250 0.500 0.750
Zn1 Zn 0.324 0.101 0.973
Zn2 Zn 0.500 0.000 0.500
Zn3 Zn 0.777 0.649 0.676
Zn4 Zn 0.027 0.351 0.128
Zn5 Zn 0.872 0.899 0.223
Au1 Au 0.322 0.262 0.398
Au2 Au 0.602 0.924 0.863
Au3 Au 0.137 0.738 0.061
Au4 Au 0.767 0.261 0.363
Au5 Au 0.494 0.597 0.233
Au6 Au 0.637 0.403 0.898
Au7 Au 0.102 0.739 0.506
Au8 Au 0.939 0.076 0.678
# * volume: 245.3 Å³/f.u.
# * DFT formation energy: -9 kJ per mole of atoms
# * space-group type: I-4 (82)
# * VASP energy: -0.2263 Ry per atom
# * spin magnetization: 4.0 μB/f.u.
# * DOS at the Fermi energy: 3.620 states/eV/cell

***

No. 2
# MnZn4Au, optimized geometry, DFT PBE
data_MnZn4Au
_space_group_name_H-M_alt 'P 1'
_space_group_IT_number 1
_cell_length_a 4.333
_cell_length_b 7.491
_cell_length_c 7.022
_cell_angle_alpha 122.23
_cell_angle_beta 72.28
_cell_angle_gamma 90.00
loop_
_space_group_symop_operation_xyz
'x,y,z'
loop_
_atom_site_label
_atom_site_type_symbol
_atom_site_fract_x
_atom_site_fract_y
_atom_site_fract_z
Zn1 Zn 0.130 0.703 0.240
Zn2 Zn 0.630 0.537 0.240
Zn3 Zn 0.130 0.037 0.240
Zn4 Zn 0.870 0.297 0.760
Zn5 Zn 0.370 0.797 0.760
Zn6 Zn 0.370 0.463 0.760
Zn7 Zn 0.870 0.963 0.760
Zn8 Zn 0.630 0.203 0.240
Au1 Au 0.500 0.000 0.500
Au2 Au 0.000 0.500 0.500
Mn1 Mn 0.250 0.250 0.000
Mn2 Mn 0.750 0.750 0.000
# * volume: 89.9 Å³/f.u.
# * DFT formation energy: -5 kJ per mole of atoms
# * energy above the lowest structure with this stoichiometry: 0 meV per atom
# * space-group type: C2/m (12)
# * VASP energy: -0.2188 Ry per atom
# * spin magnetization: 3.3 μB/f.u.
# * DOS at the Fermi energy: 4.796 states/eV/cell

***

No. 3
# Mn3ZnAu, optimized geometry, DFT PBE
data_Mn3ZnAu
_space_group_name_H-M_alt 'P 1'
_space_group_IT_number 1
_cell_length_a 4.989
_cell_length_b 4.989
_cell_length_c 4.989
_cell_angle_alpha 90.00
_cell_angle_beta 90.00
_cell_angle_gamma 90.00
loop_
_space_group_symop_operation_xyz
'x,y,z'
loop_
_atom_site_label
_atom_site_type_symbol
_atom_site_fract_x
_atom_site_fract_y
_atom_site_fract_z
Mn1 Mn 0.000 0.500 0.000
Mn2 Mn 0.500 0.000 0.000
Mn3 Mn 0.000 0.000 0.500
Zn1 Zn 0.500 0.500 0.500
Au1 Au 0.000 0.000 0.000
# * volume: 124.2 Å³/f.u.
# * DFT formation energy: 95 kJ per mole of atoms
# * energy above the lowest structure with this stoichiometry: 95 meV per atom
# * space-group type: Pm-3m (221)
# * VASP energy: -0.3986 Ry per atom
# * spin magnetization: 13.4 μB/f.u.
# * DOS at the Fermi energy: 4.761 states/eV/cell